The following is a PBE with a Hubbard U calculation of crystalline CoTeO2 at its relaxed geometry, from Alexandria.

Properties
- DFT total energy (eV/atom) = -4.647
- calculated density (kg/m³) = 6429
- space-group type = R-3m

Unit cell a=7.155 b=7.155 c=7.155 alpha=24.74 beta=24.74 gamma=24.74
Fractional coordinates of all 4 atoms:
Co 0.000 0.000 0.000
Te 0.500 0.500 0.500
O 0.086 0.086 0.086
O 0.914 0.914 0.914